13
Lattice="-5.7266 3.1826 3.5450 0.6464 -7.4201 -0.1207 8.9407 0.6812 6.0042" Properties=species:S:1:pos:R:3 comment="AcPr8Y4 | Alexandria | PBE | optimized geometry" dos_at_fermi_per_ev_cell=14.439 dft_energy_ev_per_atom=-5.02 ef_ev_per_atom=0.222 pbc="T T T"
Ac 4.7935 -3.3695 2.9418
Pr 0.4584 -3.7663 4.1216
Pr 3.4021 0.2101 5.3071
Pr -0.0839 -0.0627 3.4010
Pr 1.0388 2.0422 7.6710
Pr 3.9443 -3.4936 6.0276
Pr 1.3977 -2.0784 7.6040
Pr 2.4628 -1.4779 1.8247
Pr 2.8217 -5.5984 1.7576
Y 0.0000 0.0000 0.0000
Y 0.3232 -3.7100 -0.0603
Y -2.5401 -2.1187 1.7122
Y -2.8633 1.5913 1.7725